No. 1
Ba4Te2SeS: relaxed, PBE.

Output
total moment	0.00	μB/f.u.
formation energy from raw total energies	-1471	kJ/mol of formula units

a = 8.3465 Å, b = 4.8153 Å, c = 8.3951 Å
α = 90.00°, β = 109.33°, γ = 90.00°
Last column: nearest neighbours and their distance in Å.
Space group P2/m (No. 10)
Inequivalent atoms, fractional coordinates:
Ba 0.2396 0.0000 0.2304 [2 per cell]  2 S 3.31, 1 Se 3.35, 3 Te 3.48-3.52
Ba 0.2520 0.5000 0.7672 [2 per cell]  1 S 3.31, 2 Se 3.35, 3 Te 3.48-3.52
Te 0.0000 0.0000 0.5000 [1 per cell]  6 Ba 3.48
Te 0.5000 0.5000 0.5000 [1 per cell]  6 Ba 3.52
Se 0.5000 0.0000 0.0000 [1 per cell]  6 Ba 3.35
S 0.0000 0.5000 0.0000 [1 per cell]  6 Ba 3.31


No. 2
Nd8Te4Pt3Br: relaxed, PBE.

Output
total moment	0.00	μB/f.u.
formation energy from raw total energies	-1973	kJ/mol of formula units

a = 14.9377 Å, b = 8.6230 Å, c = 8.9756 Å
α = 90.00°, β = 123.70°, γ = 90.00°
Last column: nearest neighbours and their distance in Å.
Space group C2/m (No. 12)
Inequivalent atoms, fractional coordinates:
Nd 0.0117 0.2378 0.2736 [8 per cell]  2 Pt 2.96, 1 Br 3.11, 3 Te 3.13-3.27
Nd 0.2365 0.0000 0.7094 [4 per cell]  3 Pt 2.94
Nd 0.2499 0.0000 0.2746 [4 per cell]  2 Pt 2.96, 1 Br 3.11, 3 Te 3.13-3.28
Te 0.0000 0.0000 0.0000 [2 per cell]  6 Nd 3.13
Te 0.0000 0.5000 0.0000 [2 per cell]  6 Nd 3.27-3.30
Te 0.2500 0.2500 0.0000 [4 per cell]  6 Nd 3.27-3.30
Pt 0.0000 0.0000 0.5000 [2 per cell]  6 Nd 2.94-2.96
Pt 0.2500 0.2500 0.5000 [4 per cell]  6 Nd 2.94-2.96
Br 0.0000 0.5000 0.5000 [2 per cell]  6 Nd 3.11